(1)
The following is a PBE calculation of a relaxed Pm2Dy6YTm crystal, from the Alexandria database.

Energy of formation from the pure elements in eV per atom: 0.113
Calculated total energy in eV per atom: -4.69
Mass density in Mg/m³: 7.8

The structure in CIF format:
```
data_Pm2Dy6YTm
_space_group_name_H-M_alt 'C 1 2/c 1'
_space_group_IT_number 15
_cell_length_a 9.012
_cell_length_b 15.098
_cell_length_c 9.627
_cell_angle_alpha 90.00
_cell_angle_beta 98.35
_cell_angle_gamma 90.00
loop_
_space_group_symop_operation_xyz
'x,y,z'
'-x,-y,-z'
'-x,y,-z+1/2'
'x,-y,z+1/2'
'x+1/2,y+1/2,z'
'-x+1/2,-y+1/2,-z'
'-x+1/2,y+1/2,-z+1/2'
'x+1/2,-y+1/2,z+1/2'
loop_
_atom_site_label
_atom_site_fract_x
_atom_site_fract_y
_atom_site_fract_z
_atom_site_occupancy
Pm1 0.249 0.053 0.043 1
Dy1 0.062 0.190 0.443 1
Dy2 0.104 0.394 0.619 1
Dy3 0.203 0.223 0.812 1
Y1 0.000 0.019 0.750 1
Tm1 0.000 0.408 0.250 1
```

***

(2)
The following is a PBE calculation of a relaxed PmDyYTm3 crystal, from the Alexandria database.

Energy of formation from the pure elements in eV per atom: 0.025
Calculated total energy in eV per atom: -4.85
Mass density in Mg/m³: 8.0

The structure in CIF format:
```
data_PmDyYTm3
_space_group_name_H-M_alt 'C m c m'
_space_group_IT_number 63
_space_group_name_Hall '-C 2c 2'
_cell_length_a 5.004
_cell_length_b 15.014
_cell_length_c 10.009
_cell_angle_alpha 90.00
_cell_angle_beta 90.00
_cell_angle_gamma 90.00
loop_
_atom_site_label
_atom_site_fract_x
_atom_site_fract_y
_atom_site_fract_z
_atom_site_occupancy
Pm1 0.000 0.001 0.250 1
Dy1 0.000 0.500 0.000 1
Y1 0.000 0.332 0.250 1
Tm1 0.000 0.167 0.000 1
Tm2 0.000 0.333 0.750 1
```